First-principles (PBE-GGA) data for crystalline SrScAl2 at its relaxed geometry, as listed in the Alexandria database.

Cell: 10.037 10.037 10.037 Å, 19.91 19.91 19.91°
Element x y z (fractional)
Sr: 0.000 0.000 0.000
Sc: 0.500 0.500 0.500
Al: 0.242 0.242 0.242
Al: 0.758 0.758 0.758

Values from the calculation:
energy above the most stable polymorph in this dataset = 311 meV/atom
space group = R-3m, No. 166
ΔH_f (0 K) = 0.06 eV per atom

***

First-principles (PBE-GGA) data for crystalline SrSc2Al2 at its relaxed geometry, as listed in the Alexandria database.

Cell: 8.468 8.468 3.401 Å, 90.00 90.00 90.00°
Element x y z (fractional)
Sr: 0.000 0.000 0.000
Sr: 0.500 0.500 0.000
Sc: 0.174 0.326 0.500
Sc: 0.326 0.826 0.500
Sc: 0.674 0.174 0.500
Sc: 0.826 0.674 0.500
Al: 0.117 0.617 0.000
Al: 0.383 0.117 0.000
Al: 0.617 0.883 0.000
Al: 0.883 0.383 0.000

Values from the calculation:
energy above the most stable polymorph in this dataset = 73 meV/atom
space group = P4/mbm, No. 127
ΔH_f (0 K) = -0.14 eV per atom

***

First-principles (PBE-GGA) data for crystalline SrScAl at its relaxed geometry, as listed in the Alexandria database.

Cell: 8.726 8.726 5.751 Å, 101.30 101.30 23.28°
Element x y z (fractional)
Sr: 0.068 0.068 0.291
Sr: 0.932 0.932 0.709
Sc: 0.242 0.242 0.763
Sc: 0.758 0.758 0.237
Al: 0.388 0.388 0.169
Al: 0.612 0.612 0.831

Values from the calculation:
energy above the most stable polymorph in this dataset = 110 meV/atom
space group = C2/m, No. 12
ΔH_f (0 K) = -0.06 eV per atom

***

First-principles (PBE-GGA) data for crystalline SrScAl at its relaxed geometry, as listed in the Alexandria database.

Cell: 8.277 4.947 8.656 Å, 90.00 90.00 90.00°
Element x y z (fractional)
Sr: 0.014 0.250 0.179
Sr: 0.486 0.750 0.679
Sr: 0.514 0.250 0.321
Sr: 0.986 0.750 0.821
Sc: 0.139 0.250 0.571
Sc: 0.361 0.750 0.071
Sc: 0.639 0.250 0.929
Sc: 0.861 0.750 0.429
Al: 0.208 0.750 0.392
Al: 0.292 0.250 0.892
Al: 0.708 0.750 0.108
Al: 0.792 0.250 0.608

Values from the calculation:
energy above the most stable polymorph in this dataset = 54 meV/atom
space group = Pnma, No. 62
ΔH_f (0 K) = -0.12 eV per atom

***

First-principles (PBE-GGA) data for crystalline Sr2ScAl2 at its relaxed geometry, as listed in the Alexandria database.

Cell: 7.743 7.743 5.168 Å, 90.00 90.00 90.00°
Element x y z (fractional)
Sr: 0.175 0.325 0.000
Sr: 0.325 0.825 0.000
Sr: 0.675 0.175 0.000
Sr: 0.825 0.675 0.000
Sc: 0.000 0.000 0.500
Sc: 0.500 0.500 0.500
Al: 0.123 0.623 0.500
Al: 0.377 0.123 0.500
Al: 0.623 0.877 0.500
Al: 0.877 0.377 0.500

Values from the calculation:
energy above the most stable polymorph in this dataset = 0 meV/atom
space group = P4/mbm, No. 127
ΔH_f (0 K) = -0.02 eV per atom

***

First-principles (PBE-GGA) data for crystalline SrScAl at its relaxed geometry, as listed in the Alexandria database.

Cell: 3.610 3.610 7.841 Å, 90.00 90.00 120.00°
Element x y z (fractional)
Sr: 0.000 0.000 0.000
Sc: 0.667 0.333 0.588
Al: 0.333 0.667 0.328

Values from the calculation:
energy above the most stable polymorph in this dataset = 331 meV/atom
space group = P3m1, No. 156
ΔH_f (0 K) = 0.16 eV per atom

***

First-principles (PBE-GGA) data for crystalline SrScAl at its relaxed geometry, as listed in the Alexandria database.

Cell: 11.433 11.433 4.402 Å, 90.00 90.00 161.25°
Element x y z (fractional)
Sr: 0.179 0.821 0.750
Sr: 0.821 0.179 0.250
Sc: 0.056 0.944 0.250
Sc: 0.944 0.056 0.750
Al: 0.455 0.545 0.250
Al: 0.545 0.455 0.750

Values from the calculation:
energy above the most stable polymorph in this dataset = 67 meV/atom
space group = Cmcm, No. 63
ΔH_f (0 K) = -0.10 eV per atom

***

First-principles (PBE-GGA) data for crystalline SrSc2Al2 at its relaxed geometry, as listed in the Alexandria database.

Cell: 8.693 8.693 3.150 Å, 90.00 90.00 90.00°
Element x y z (fractional)
Sr: 0.000 0.000 0.000
Sr: 0.500 0.500 0.000
Sc: 0.123 0.377 0.000
Sc: 0.377 0.877 0.000
Sc: 0.623 0.123 0.000
Sc: 0.877 0.623 0.000
Al: 0.173 0.673 0.500
Al: 0.327 0.173 0.500
Al: 0.673 0.827 0.500
Al: 0.827 0.327 0.500

Values from the calculation:
energy above the most stable polymorph in this dataset = 0 meV/atom
space group = P4/mbm, No. 127
ΔH_f (0 K) = -0.22 eV per atom

***

First-principles (PBE-GGA) data for crystalline Sr2ScAl2 at its relaxed geometry, as listed in the Alexandria database.

Cell: 9.368 9.368 3.416 Å, 90.00 90.00 90.00°
Element x y z (fractional)
Sr: 0.129 0.371 0.000
Sr: 0.371 0.871 0.000
Sr: 0.629 0.129 0.000
Sr: 0.871 0.629 0.000
Sc: 0.000 0.000 0.000
Sc: 0.500 0.500 0.000
Al: 0.171 0.671 0.500
Al: 0.329 0.171 0.500
Al: 0.671 0.829 0.500
Al: 0.829 0.329 0.500

Values from the calculation:
energy above the most stable polymorph in this dataset = 274 meV/atom
space group = P4/mbm, No. 127
ΔH_f (0 K) = 0.26 eV per atom

***

First-principles (PBE-GGA) data for crystalline SrScAl2 at its relaxed geometry, as listed in the Alexandria database.

Cell: 5.534 5.534 3.232 Å, 90.00 90.00 106.27°
Element x y z (fractional)
Sr: 0.000 0.000 0.000
Sc: 0.500 0.500 0.000
Al: 0.000 0.500 0.500
Al: 0.500 0.000 0.500

Values from the calculation:
energy above the most stable polymorph in this dataset = 166 meV/atom
space group = Cmmm, No. 65
ΔH_f (0 K) = -0.09 eV per atom

***

First-principles (PBE-GGA) data for crystalline SrScAl at its relaxed geometry, as listed in the Alexandria database.

Cell: 11.760 11.760 3.842 Å, 99.35 99.35 21.17°
Element x y z (fractional)
Sr: 0.000 0.000 0.000
Sr: 0.641 0.641 0.642
Sc: 0.266 0.266 0.765
Sc: 0.379 0.379 0.376
Al: 0.774 0.774 0.272
Al: 0.856 0.856 0.854

Values from the calculation:
energy above the most stable polymorph in this dataset = 39 meV/atom
space group = Cm, No. 8
ΔH_f (0 K) = -0.13 eV per atom

***

First-principles (PBE-GGA) data for crystalline SrSc2Al2 at its relaxed geometry, as listed in the Alexandria database.

Cell: 7.183 7.183 7.183 Å, 142.88 142.88 53.50°
Element x y z (fractional)
Sr: 0.000 0.000 0.000
Sc: 0.250 0.750 0.500
Sc: 0.750 0.250 0.500
Al: 0.396 0.396 0.000
Al: 0.604 0.604 0.000

Values from the calculation:
energy above the most stable polymorph in this dataset = 96 meV/atom
space group = I4/mmm, No. 139
ΔH_f (0 K) = -0.12 eV per atom

***

Please write out number 10 again, unchanged.
First-principles (PBE-GGA) data for crystalline SrScAl2 at its relaxed geometry, as listed in the Alexandria database.

Cell: 5.534 5.534 3.232 Å, 90.00 90.00 106.27°
Element x y z (fractional)
Sr: 0.000 0.000 0.000
Sc: 0.500 0.500 0.000
Al: 0.000 0.500 0.500
Al: 0.500 0.000 0.500

Values from the calculation:
energy above the most stable polymorph in this dataset = 166 meV/atom
space group = Cmmm, No. 65
ΔH_f (0 K) = -0.09 eV per atom

***

Look up the energy above the most stable polymorph in this dataset of the third one. 110 meV/atom